Ta4TlSb: relaxed, PBEsol.

**Formation energy from raw total energies**: 0.47 eV/atom
**Total magnetization**: 0.000 μB/atom

a = 5.528 Å, b = 5.528 Å, c = 5.528 Å
α = 60.00°, β = 60.00°, γ = 60.00°
Positions (direct):
Sb: 0.000 0.000 0.000
Ta: 0.873 0.376 0.376
Ta: 0.376 0.376 0.376
Ta: 0.376 0.376 0.873
Ta: 0.376 0.873 0.376
Tl: 0.750 0.750 0.750

=====

Sc2TiGe2: relaxed, PBEsol.

**Total energy**: -7.05 eV per atom
**Total magnetization**: 0.109 μB/atom

a = 3.866 Å, b = 6.861 Å, c = 6.861 Å
α = 90.00°, β = 90.00°, γ = 90.00°
Site moments in Bohr magnetons follow the coordinates.
Positions (direct):
Sc: 0.500 0.171 0.671  0.04
Sc: 0.500 0.671 0.829  0.04
Sc: 0.500 0.829 0.329  0.04
Sc: 0.500 0.329 0.171  0.04
Ge: 0.000 0.365 0.865  0.00
Ge: 0.000 0.865 0.635  0.00
Ge: 0.000 0.635 0.135  0.00
Ge: 0.000 0.135 0.365  0.00
Ti: 0.000 0.000 0.000  0.32
Ti: 0.000 0.500 0.500  0.32

=====

Al2PtPb: relaxed, PBEsol.

**Total energy**: -4.72 eV per atom
**Total magnetization**: 0.000 μB/atom

a = 4.741 Å, b = 4.741 Å, c = 4.741 Å
α = 60.00°, β = 60.00°, γ = 60.00°
Positions (direct):
Pb: 0.500 0.500 0.500
Al: 0.000 0.000 0.000
Al: 0.750 0.750 0.750
Pt: 0.250 0.250 0.250

=====

Which value of total magnetization does entry 1 give? 0.000 μB/atom